No. 1
A plane-wave DFT calculation with PBE-GGA was carried out for an optimized crystal structure of TbLuTlTe3.

Lattice parameters (Å, degrees): 7.944 7.944 11.926 90.00 90.00 148.05
Element x y z (fractional)
1 Tb 0.068 0.932 0.750
2 Tb 0.932 0.068 0.250
3 Lu 0.500 0.500 0.000
4 Lu 0.500 0.500 0.500
5 Tl 0.251 0.749 0.250
6 Tl 0.749 0.251 0.750
7 Te 0.140 0.860 0.522
8 Te 0.140 0.860 0.978
9 Te 0.434 0.566 0.750
10 Te 0.566 0.434 0.250
11 Te 0.860 0.140 0.022
12 Te 0.860 0.140 0.478

Results
total magnetization = 0.75 μB/cell
ρ = 7.68 g/cm³
uncorrected energy = -4.421 eV per atom

No. 2
A plane-wave DFT calculation with PBE-GGA was carried out for an optimized crystal structure of TbLuTlTe3.

Lattice parameters (Å, degrees): 9.694 9.694 10.004 103.15 103.15 25.94
Element x y z (fractional)
1 Tb 0.170 0.170 0.075
2 Tb 0.830 0.830 0.925
3 Lu 0.498 0.498 0.791
4 Lu 0.502 0.502 0.209
5 Tl 0.144 0.144 0.555
6 Tl 0.856 0.856 0.445
7 Te 0.000 0.000 0.000
8 Te 0.335 0.335 0.709
9 Te 0.337 0.337 0.152
10 Te 0.500 0.500 0.500
11 Te 0.663 0.663 0.848
12 Te 0.665 0.665 0.291

Results
total magnetization = 0.02 μB/cell
ρ = 7.65 g/cm³
uncorrected energy = -4.501 eV per atom

No. 3
A plane-wave DFT calculation with PBE-GGA was carried out for an optimized crystal structure of TbLuTh.

Lattice parameters (Å, degrees): 5.380 5.380 5.380 60.00 60.00 60.00
Element x y z (fractional)
1 Tb 0.000 0.000 0.000
2 Lu 0.250 0.250 0.250
3 Th 0.500 0.500 0.500

Results
total magnetization = 0.01 μB/cell
formation energy = 0.78 eV/atom
ρ = 8.53 g/cm³

No. 4
A plane-wave DFT calculation with PBE-GGA was carried out for an optimized crystal structure of TbTmLu.

Lattice parameters (Å, degrees): 5.333 5.333 5.333 60.00 60.00 60.00
Element x y z (fractional)
1 Tb 0.000 0.000 0.000
2 Tm 0.500 0.500 0.500
3 Lu 0.250 0.250 0.250

Results
total magnetization = 0.03 μB/cell
formation energy = 0.72 eV/atom
ρ = 7.78 g/cm³

No. 5
A plane-wave DFT calculation with PBE-GGA was carried out for an optimized crystal structure of TbLuU.

Lattice parameters (Å, degrees): 5.245 5.245 5.245 60.00 60.00 60.00
Element x y z (fractional)
1 Tb 0.000 0.000 0.000
2 Lu 0.250 0.250 0.250
3 U 0.500 0.500 0.500

Results
total magnetization = 3.61 μB/cell
formation energy = 1.26 eV/atom
ρ = 9.31 g/cm³

No. 6
A plane-wave DFT calculation with PBE-GGA was carried out for an optimized crystal structure of TbYLu.

Lattice parameters (Å, degrees): 5.419 5.419 5.419 60.00 60.00 60.00
Element x y z (fractional)
1 Tb 0.000 0.000 0.000
2 Y 0.750 0.750 0.750
3 Lu 0.500 0.500 0.500

Results
total magnetization = 0.01 μB/cell
formation energy = 0.77 eV/atom
ρ = 6.24 g/cm³